Material: SrLiCdHg2
Method: DFT, PBE
State: optimized geometry

Distance to the lowest polymorph of the same formula: 68 meV/atom
Calculated formation energy: -0.269 eV per atom

Lattice parameters (Å, degrees): 5.0932 5.0932 5.0482 90.00 90.00 90.00
With the nearest neighbours (Å) after each atom.
Positions (direct):
1 Hg 0.0000 0.5000 0.0000  2 Li 2.55
2 Hg 0.5000 0.0000 0.0000  2 Li 2.55
3 Li 0.0000 0.0000 0.0000  2 Cd 2.52, 4 Hg 2.55
4 Cd 0.0000 0.0000 0.5000  2 Li 2.52
5 Sr 0.5000 0.5000 0.5000  8 Hg 3.59, 4 Cd 3.60

***

Material: Li3Cu3Pd5
Method: DFT, PBE
State: optimized geometry

Calculated formation energy: 0.053 eV per atom

Lattice parameters (Å, degrees): 2.6967 8.4094 8.4095 120.00 89.99 90.01
With the nearest neighbours (Å) after each atom.
Positions (direct):
1 Li 0.0000 0.0000 0.5925  2 Cu 2.44, 2 Pd 2.51, 2 Li 2.70
2 Li 0.0000 0.5925 0.0000  2 Cu 2.44, 2 Pd 2.51, 2 Li 2.70
3 Li 0.0000 0.4075 0.4075  2 Cu 2.44, 2 Pd 2.51, 2 Li 2.70
4 Pd 0.5000 0.3333 0.6667  5 Pd 2.70-2.77, 6 Li 2.88
5 Pd 0.5000 0.3409 0.0000  2 Cu 2.48, 2 Li 2.51, 4 Pd 2.70-2.77
6 Pd 0.5000 0.0000 0.3409  2 Cu 2.48, 2 Li 2.51, 4 Pd 2.70-2.77
7 Pd 0.5000 0.6591 0.6591  2 Cu 2.48, 2 Li 2.51, 4 Pd 2.70-2.77
8 Pd 0.5000 0.6667 0.3333  5 Pd 2.70-2.77, 6 Li 2.88
9 Cu 0.5000 0.0000 0.8344  4 Cu 2.41-2.70, 2 Li 2.44, 2 Pd 2.48
10 Cu 0.5000 0.8344 0.0000  4 Cu 2.41-2.70, 2 Li 2.44, 2 Pd 2.48
11 Cu 0.5000 0.1656 0.1656  4 Cu 2.41-2.70, 2 Li 2.44, 2 Pd 2.48

***

Material: NaTl4In3
Method: DFT, PBE
State: optimized geometry

Distance to the lowest polymorph of the same formula: 0 meV/atom
Calculated formation energy: -0.032 eV per atom

Lattice parameters (Å, degrees): 5.8515 6.9947 11.2140 90.00 90.00 90.00
With the nearest neighbours (Å) after each atom.
Positions (direct):
1 In 0.0202 0.8826 0.7508  4 In 3.36-3.43, 7 Tl 3.41-3.58, 1 Na 3.47
2 In 0.5202 0.1174 0.2508  4 In 3.36-3.43, 7 Tl 3.41-3.58, 1 Na 3.47
3 In 0.5202 0.1174 0.7492  4 In 3.36-3.43, 7 Tl 3.41-3.58, 1 Na 3.47
4 In 0.3571 0.8858 0.5000  6 Tl 3.35-3.46, 4 In 3.37-3.43, 2 Na 3.45-3.54
5 In 0.8571 0.1142 0.0000  6 Tl 3.35-3.46, 4 In 3.37-3.43, 2 Na 3.45-3.54
6 In 0.0202 0.8826 0.2492  4 In 3.36-3.43, 7 Tl 3.41-3.58, 1 Na 3.47
7 Na 0.3580 0.3796 0.5000  8 Tl 3.37-3.49, 4 In 3.45-3.54
8 Na 0.8580 0.6204 0.0000  8 Tl 3.37-3.49, 4 In 3.45-3.54
9 Tl 0.8525 0.1312 0.5000  6 In 3.37-3.45, 2 Na 3.37-3.43, 4 Tl 3.45-3.54
10 Tl 0.0199 0.3710 0.2458  2 Na 3.40-3.47, 5 In 3.42-3.58, 5 Tl 3.43-3.52
11 Tl 0.3525 0.8688 0.0000  6 In 3.37-3.45, 2 Na 3.37-3.43, 4 Tl 3.45-3.54
12 Tl 0.0199 0.3710 0.7542  2 Na 3.40-3.47, 5 In 3.42-3.58, 5 Tl 3.43-3.52
13 Tl 0.5199 0.6290 0.2542  2 Na 3.40-3.47, 5 In 3.42-3.58, 5 Tl 3.43-3.52
14 Tl 0.3677 0.3623 0.0000  4 In 3.35-3.46, 2 Na 3.39-3.49, 6 Tl 3.43-3.54
15 Tl 0.8677 0.6377 0.5000  4 In 3.35-3.46, 2 Na 3.39-3.49, 6 Tl 3.43-3.54
16 Tl 0.5199 0.6290 0.7458  2 Na 3.40-3.47, 5 In 3.42-3.58, 5 Tl 3.43-3.52

***

Material: Sm2Dy2Tl5
Method: DFT, PBE
State: optimized geometry

Calculated formation energy: -0.164 eV per atom

Lattice parameters (Å, degrees): 7.2218 9.8419 9.7645 120.26 111.70 90.00
With the nearest neighbours (Å) after each atom.
Positions (direct):
1 Tl 0.2613 0.7331 0.9088  3 Tl 3.12-3.27, 2 Sm 3.14-3.29, 2 Dy 3.16-3.18
2 Tl 0.3643 0.9919 0.3022  3 Tl 3.02-3.36, 2 Dy 3.18-3.25, 2 Sm 3.23-3.28
3 Tl 0.8526 0.3243 0.0912  3 Tl 3.12-3.27, 2 Sm 3.14-3.29, 2 Dy 3.16-3.18
4 Tl 0.7387 0.8243 0.0913  3 Tl 3.12-3.27, 2 Sm 3.14-3.29, 2 Dy 3.16-3.18
5 Tl 0.6357 0.6897 0.6978  3 Tl 3.02-3.36, 2 Dy 3.18-3.25, 2 Sm 3.23-3.28
6 Tl 0.1474 0.2331 0.9088  3 Tl 3.12-3.27, 2 Sm 3.14-3.29, 2 Dy 3.16-3.18
7 Tl 0.5621 0.1897 0.6978  3 Tl 3.02-3.36, 2 Dy 3.18-3.25, 2 Sm 3.23-3.28
8 Tl 0.9520 0.5954 0.5000  2 Dy 3.17, 4 Tl 3.27-3.36, 4 Sm 3.41-3.53
9 Tl 0.4379 0.4919 0.3022  3 Tl 3.02-3.36, 2 Dy 3.18-3.25, 2 Sm 3.23-3.28
10 Tl 0.0480 0.0954 0.5000  2 Dy 3.17, 4 Tl 3.27-3.36, 4 Sm 3.41-3.53
11 Dy 0.7300 0.8735 0.5000  6 Tl 3.17-3.46
12 Dy 0.2700 0.3735 0.5000  6 Tl 3.17-3.46
13 Dy 0.5000 0.4990 0.0000  6 Tl 3.16-3.18
14 Dy 0.0000 0.9990 0.0000  6 Tl 3.16-3.18
15 Sm 0.0924 0.6935 0.2579  5 Tl 3.14-3.41
16 Sm 0.9076 0.4356 0.7421  5 Tl 3.14-3.41
17 Sm 0.6655 0.1935 0.2579  5 Tl 3.14-3.41
18 Sm 0.3345 0.9356 0.7421  5 Tl 3.14-3.41

***

Material: CaHgSe2
Method: DFT, PBE
State: optimized geometry

Formation energy from raw total energies: -3.9 eV/f.u.

Lattice parameters (Å, degrees): 7.1389 7.1389 4.1724 93.26 93.26 32.25
With the nearest neighbours (Å) after each atom.
Positions (direct):
1 Se 0.1998 0.1998 0.3823  2 Hg 2.69
2 Se 0.9714 0.9714 0.9468  1 Hg 2.58
3 Ca 0.5352 0.5352 0.4618  6 Se 3.00-3.04
4 Hg 0.7937 0.7937 0.7091  3 Se 2.58-2.69

***

Material: Nd3ErPt3
Method: DFT, PBE
State: optimized geometry

Calculated formation energy: -0.932 eV per atom

Lattice parameters (Å, degrees): 7.1321 7.1321 7.2717 90.67 90.67 97.42
With the nearest neighbours (Å) after each atom.
Positions (direct):
1 Nd 0.1751 0.8249 0.5000  6 Pt 2.90-2.99
2 Nd 0.7475 0.2525 0.0000  6 Pt 3.09-3.21
3 Nd 0.3356 0.3356 0.6204  3 Pt 2.95-3.13
4 Nd 0.8249 0.1751 0.5000  6 Pt 2.90-2.99
5 Nd 0.6644 0.6644 0.3796  3 Pt 2.95-3.13
6 Nd 0.2525 0.7475 0.0000  6 Pt 3.09-3.21
7 Pt 0.0327 0.4901 0.2867  1 Er 2.74, 2 Nd 2.90-2.99
8 Pt 0.9673 0.5099 0.7133  1 Er 2.74, 2 Nd 2.90-2.99
9 Pt 0.9387 0.9387 0.1890  2 Er 2.83-2.96, 5 Nd 2.95-3.09, 1 Pt 3.00
10 Pt 0.0613 0.0613 0.8110  2 Er 2.83-2.96, 5 Nd 2.95-3.09, 1 Pt 3.00
11 Pt 0.5099 0.9673 0.7133  1 Er 2.74, 2 Nd 2.90-2.99
12 Pt 0.4901 0.0327 0.2867  1 Er 2.74, 2 Nd 2.90-2.99
13 Er 0.2482 0.2482 0.1200  4 Pt 2.74-2.96
14 Er 0.7518 0.7518 0.8800  4 Pt 2.74-2.96

***

Material: Co3SiH
Method: DFT, PBE
State: optimized geometry

Distance to the lowest polymorph of the same formula: 8 meV/atom

Lattice parameters (Å, degrees): 3.5285 3.5285 3.5285 90.00 90.00 90.00
With the nearest neighbours (Å) after each atom.
Positions (direct):
1 Si 0.5000 0.5000 0.5000  12 Co 2.50
2 Co 0.0000 0.5000 0.0000  2 H 1.76
3 Co 0.5000 0.0000 0.0000  2 H 1.76
4 Co 0.0000 0.0000 0.5000  2 H 1.76
5 H 0.0000 0.0000 0.0000  6 Co 1.76

***

Material: La4Dy4Mg
Method: DFT, PBE
State: optimized geometry

Calculated formation energy: 0.013 eV per atom

Lattice parameters (Å, degrees): 8.5830 6.8005 13.2796 98.82 57.55 76.91
With the nearest neighbours (Å) after each atom.
Positions (direct):
1 Dy 0.3020 0.4663 0.5056  2 Mg 3.45-3.75, 4 Dy 3.46-3.79, 6 La 3.52-3.74
2 Dy 0.6259 0.1175 0.1785  6 La 3.48-3.76, 4 Dy 3.55-3.68, 2 Mg 3.55
3 Dy 0.5126 0.2310 0.9578  6 Dy 3.51-3.68, 5 La 3.57-3.75, 1 Mg 3.68
4 Dy 0.4874 0.7690 0.0422  6 Dy 3.51-3.68, 5 La 3.57-3.75, 1 Mg 3.68
5 Dy 0.3741 0.8825 0.8215  6 La 3.48-3.76, 4 Dy 3.55-3.68, 2 Mg 3.55
6 Dy 0.7954 0.4340 0.7188  1 Mg 3.39, 5 Dy 3.53-3.79, 6 La 3.56-3.69
7 Dy 0.6980 0.5337 0.4944  2 Mg 3.45-3.75, 4 Dy 3.46-3.79, 6 La 3.52-3.74
8 Dy 0.2046 0.5660 0.2812  1 Mg 3.39, 5 Dy 3.53-3.79, 6 La 3.56-3.69
9 La 0.7427 0.9929 0.3990  5 La 3.51-3.70, 5 Dy 3.56-3.74, 2 Mg 3.57-3.67
10 La 0.0820 0.6698 0.0626  5 La 3.56-3.75, 5 Dy 3.57-3.70, 2 Mg 3.62-3.66
11 La 0.8485 0.8843 0.6160  7 Dy 3.48-3.75, 4 La 3.58-3.70, 1 Mg 3.63
12 La 0.9783 0.7860 0.8329  6 Dy 3.53-3.76, 5 La 3.55-3.75, 1 Mg 3.61
13 La 0.9180 0.3302 0.9374  5 La 3.56-3.75, 5 Dy 3.57-3.70, 2 Mg 3.62-3.66
14 La 0.0217 0.2140 0.1671  6 Dy 3.53-3.76, 5 La 3.55-3.75, 1 Mg 3.61
15 La 0.1515 0.1157 0.3840  7 Dy 3.48-3.75, 4 La 3.58-3.70, 1 Mg 3.63
16 La 0.2573 0.0071 0.6010  5 La 3.51-3.70, 5 Dy 3.56-3.74, 2 Mg 3.57-3.67
17 Mg 0.4132 0.3449 0.7313  6 Dy 3.39-3.75, 6 La 3.57-3.67
18 Mg 0.5868 0.6551 0.2687  6 Dy 3.39-3.75, 6 La 3.57-3.67

***

What did the fifth record say?
Material: CaHgSe2
Method: DFT, PBE
State: optimized geometry

Formation energy from raw total energies: -3.9 eV/f.u.

Lattice parameters (Å, degrees): 7.1389 7.1389 4.1724 93.26 93.26 32.25
With the nearest neighbours (Å) after each atom.
Positions (direct):
1 Se 0.1998 0.1998 0.3823  2 Hg 2.69
2 Se 0.9714 0.9714 0.9468  1 Hg 2.58
3 Ca 0.5352 0.5352 0.4618  6 Se 3.00-3.04
4 Hg 0.7937 0.7937 0.7091  3 Se 2.58-2.69

***

Please write out number 8 again, unchanged.
Material: La4Dy4Mg
Method: DFT, PBE
State: optimized geometry

Calculated formation energy: 0.013 eV per atom

Lattice parameters (Å, degrees): 8.5830 6.8005 13.2796 98.82 57.55 76.91
With the nearest neighbours (Å) after each atom.
Positions (direct):
1 Dy 0.3020 0.4663 0.5056  2 Mg 3.45-3.75, 4 Dy 3.46-3.79, 6 La 3.52-3.74
2 Dy 0.6259 0.1175 0.1785  6 La 3.48-3.76, 4 Dy 3.55-3.68, 2 Mg 3.55
3 Dy 0.5126 0.2310 0.9578  6 Dy 3.51-3.68, 5 La 3.57-3.75, 1 Mg 3.68
4 Dy 0.4874 0.7690 0.0422  6 Dy 3.51-3.68, 5 La 3.57-3.75, 1 Mg 3.68
5 Dy 0.3741 0.8825 0.8215  6 La 3.48-3.76, 4 Dy 3.55-3.68, 2 Mg 3.55
6 Dy 0.7954 0.4340 0.7188  1 Mg 3.39, 5 Dy 3.53-3.79, 6 La 3.56-3.69
7 Dy 0.6980 0.5337 0.4944  2 Mg 3.45-3.75, 4 Dy 3.46-3.79, 6 La 3.52-3.74
8 Dy 0.2046 0.5660 0.2812  1 Mg 3.39, 5 Dy 3.53-3.79, 6 La 3.56-3.69
9 La 0.7427 0.9929 0.3990  5 La 3.51-3.70, 5 Dy 3.56-3.74, 2 Mg 3.57-3.67
10 La 0.0820 0.6698 0.0626  5 La 3.56-3.75, 5 Dy 3.57-3.70, 2 Mg 3.62-3.66
11 La 0.8485 0.8843 0.6160  7 Dy 3.48-3.75, 4 La 3.58-3.70, 1 Mg 3.63
12 La 0.9783 0.7860 0.8329  6 Dy 3.53-3.76, 5 La 3.55-3.75, 1 Mg 3.61
13 La 0.9180 0.3302 0.9374  5 La 3.56-3.75, 5 Dy 3.57-3.70, 2 Mg 3.62-3.66
14 La 0.0217 0.2140 0.1671  6 Dy 3.53-3.76, 5 La 3.55-3.75, 1 Mg 3.61
15 La 0.1515 0.1157 0.3840  7 Dy 3.48-3.75, 4 La 3.58-3.70, 1 Mg 3.63
16 La 0.2573 0.0071 0.6010  5 La 3.51-3.70, 5 Dy 3.56-3.74, 2 Mg 3.57-3.67
17 Mg 0.4132 0.3449 0.7313  6 Dy 3.39-3.75, 6 La 3.57-3.67
18 Mg 0.5868 0.6551 0.2687  6 Dy 3.39-3.75, 6 La 3.57-3.67